Below is a relaxed structure of K2SrAlNi, with properties calculated at the GGA-PBE level.

Cell: 5.923 5.923 5.741 Å, 90.00 90.00 90.00°
Fractional coordinates of all 5 atoms:
K: 0.000 0.500 0.000
K: 0.500 0.000 0.000
Sr: 0.000 0.000 0.500
Al: 0.500 0.500 0.500
Ni: 0.000 0.000 0.000

The formation enthalpy at 0 K comes out at 584 meV/atom.

***

Below is a relaxed structure of KNpAl2O8, with properties calculated at the GGA-PBE level.

Cell: 4.801 4.801 7.338 Å, 92.43 92.72 93.77°
Fractional coordinates of all 12 atoms:
K: 0.000 0.000 0.000
Np: 0.000 0.000 0.500
Al: 0.494 0.495 0.317
Al: 0.506 0.505 0.683
O: 0.197 0.199 0.315
O: 0.222 0.220 0.699
O: 0.316 0.684 0.500
O: 0.423 0.424 0.068
O: 0.577 0.576 0.932
O: 0.684 0.316 0.500
O: 0.778 0.780 0.301
O: 0.803 0.801 0.685

For the raw formation energy, the calculation gives -2.271 eV per atom.

***

Below is a relaxed structure of KNpAlO5, with properties calculated at the GGA-PBE level.

Cell: 6.006 6.006 7.990 Å, 105.87 105.87 104.69°
Fractional coordinates of all 16 atoms:
K: 0.167 0.833 0.750
K: 0.833 0.167 0.250
Np: 0.500 0.500 0.000
Np: 0.500 0.500 0.500
Al: 0.190 0.810 0.250
Al: 0.810 0.190 0.750
O: 0.130 0.275 0.891
O: 0.218 0.618 0.387
O: 0.275 0.130 0.391
O: 0.382 0.782 0.113
O: 0.437 0.563 0.750
O: 0.563 0.437 0.250
O: 0.618 0.218 0.887
O: 0.725 0.870 0.609
O: 0.782 0.382 0.613
O: 0.870 0.725 0.109

For the raw formation energy, the calculation gives -2.685 eV per atom.

***

Below is a relaxed structure of K2Np3AlO12, with properties calculated at the GGA-PBE level.

Cell: 7.315 7.315 7.315 Å, 64.55 64.55 64.55°
Fractional coordinates of all 18 atoms:
K: 0.129 0.129 0.129
K: 0.871 0.871 0.871
Np: 0.000 0.500 0.500
Np: 0.500 0.000 0.500
Np: 0.500 0.500 0.000
Al: 0.500 0.500 0.500
O: 0.173 0.173 0.562
O: 0.173 0.562 0.173
O: 0.204 0.555 0.555
O: 0.438 0.827 0.827
O: 0.445 0.445 0.796
O: 0.445 0.796 0.445
O: 0.555 0.204 0.555
O: 0.555 0.555 0.204
O: 0.562 0.173 0.173
O: 0.796 0.445 0.445
O: 0.827 0.438 0.827
O: 0.827 0.827 0.438

For the raw formation energy, the calculation gives -2.619 eV per atom.

***

Below is a relaxed structure of K2NpAl2O6, with properties calculated at the GGA-PBE level.

Cell: 7.030 7.030 7.030 Å, 49.50 49.50 49.50°
Fractional coordinates of all 11 atoms:
K: 0.221 0.221 0.221
K: 0.779 0.779 0.779
Np: 0.000 0.000 0.000
Al: 0.429 0.429 0.429
Al: 0.571 0.571 0.571
O: 0.233 0.233 0.733
O: 0.233 0.733 0.233
O: 0.267 0.767 0.767
O: 0.733 0.233 0.233
O: 0.767 0.267 0.767
O: 0.767 0.767 0.267

For the raw formation energy, the calculation gives -2.429 eV per atom.

***

Below is a relaxed structure of KNpAlO6, with properties calculated at the GGA-PBE level.

Cell: 5.253 5.253 6.040 Å, 90.00 90.00 120.00°
Fractional coordinates of all 9 atoms:
K: 0.000 0.000 0.000
Np: 0.667 0.333 0.500
Al: 0.333 0.667 0.500
O: 0.012 0.382 0.677
O: 0.012 0.629 0.323
O: 0.371 0.382 0.323
O: 0.371 0.988 0.677
O: 0.618 0.629 0.677
O: 0.618 0.988 0.323

For the raw formation energy, the calculation gives -2.266 eV per atom.

***

Below is a relaxed structure of K3NpAl2O8, with properties calculated at the GGA-PBE level.

Cell: 5.795 5.795 7.890 Å, 90.00 90.00 120.00°
Fractional coordinates of all 14 atoms:
K: 0.000 0.000 0.000
K: 0.333 0.667 0.726
K: 0.667 0.333 0.274
Np: 0.000 0.000 0.500
Al: 0.333 0.667 0.261
Al: 0.667 0.333 0.739
O: 0.168 0.335 0.348
O: 0.168 0.832 0.348
O: 0.333 0.667 0.044
O: 0.335 0.168 0.652
O: 0.665 0.832 0.348
O: 0.667 0.333 0.956
O: 0.832 0.168 0.652
O: 0.832 0.665 0.652

For the raw formation energy, the calculation gives -2.348 eV per atom.

***

Below is a relaxed structure of K2Np2AlS6, with properties calculated at the GGA-PBE level.

Cell: 6.733 6.733 7.853 Å, 98.39 98.39 119.52°
Fractional coordinates of all 11 atoms:
K: 0.169 0.831 0.000
K: 0.831 0.169 0.000
Np: 0.334 0.666 0.500
Np: 0.666 0.334 0.500
Al: 0.000 0.000 0.500
S: 0.064 0.376 0.689
S: 0.237 0.237 0.316
S: 0.376 0.064 0.689
S: 0.624 0.936 0.311
S: 0.763 0.763 0.684
S: 0.936 0.624 0.311

For the raw formation energy, the calculation gives -1.260 eV per atom.

***

Below is a relaxed structure of K3Np3AlS8, with properties calculated at the GGA-PBE level.

Cell: 8.764 8.764 8.764 Å, 53.80 53.80 53.80°
Fractional coordinates of all 15 atoms:
K: 0.000 0.500 0.500
K: 0.500 0.000 0.500
K: 0.500 0.500 0.000
Np: 0.000 0.000 0.500
Np: 0.000 0.500 0.000
Np: 0.500 0.000 0.000
Al: 0.500 0.500 0.500
S: 0.234 0.234 0.234
S: 0.254 0.715 0.715
S: 0.285 0.285 0.746
S: 0.285 0.746 0.285
S: 0.715 0.254 0.715
S: 0.715 0.715 0.254
S: 0.746 0.285 0.285
S: 0.766 0.766 0.766

For the raw formation energy, the calculation gives -1.300 eV per atom.

***

Below is a relaxed structure of K2NpAlSe4, with properties calculated at the GGA-PBE level.

Cell: 8.563 8.563 8.563 Å, 121.49 118.68 89.87°
Fractional coordinates of all 16 atoms:
K: 0.000 0.000 0.000
K: 0.500 0.000 0.000
K: 0.500 0.000 0.500
K: 0.500 0.500 0.500
Np: 0.000 0.500 0.500
Np: 0.500 0.500 0.000
Al: 0.000 0.000 0.500
Al: 0.000 0.500 0.000
Se: 0.191 0.739 0.451
Se: 0.212 0.261 0.951
Se: 0.224 0.246 0.522
Se: 0.224 0.702 0.978
Se: 0.776 0.298 0.022
Se: 0.776 0.754 0.478
Se: 0.788 0.739 0.049
Se: 0.809 0.261 0.549

For the raw formation energy, the calculation gives -1.027 eV per atom.

***

Below is a relaxed structure of K3Np3AlSe8, with properties calculated at the GGA-PBE level.

Cell: 9.146 9.146 9.146 Å, 53.91 53.91 53.91°
Fractional coordinates of all 15 atoms:
K: 0.000 0.500 0.500
K: 0.500 0.000 0.500
K: 0.500 0.500 0.000
Np: 0.000 0.000 0.500
Np: 0.000 0.500 0.000
Np: 0.500 0.000 0.000
Al: 0.500 0.500 0.500
Se: 0.235 0.235 0.235
Se: 0.253 0.718 0.718
Se: 0.282 0.282 0.747
Se: 0.282 0.747 0.282
Se: 0.718 0.253 0.718
Se: 0.718 0.718 0.253
Se: 0.747 0.282 0.282
Se: 0.765 0.765 0.765

For the raw formation energy, the calculation gives -1.148 eV per atom.

***

Below is a relaxed structure of K2NpAlTe4, with properties calculated at the GGA-PBE level.

Cell: 7.188 7.188 7.188 Å, 106.25 106.25 116.12°
Fractional coordinates of all 8 atoms:
K: 0.000 0.500 0.500
K: 0.500 0.000 0.500
Np: 0.000 0.000 0.000
Al: 0.500 0.500 0.000
Te: 0.113 0.113 0.649
Te: 0.464 0.464 0.351
Te: 0.536 0.887 0.000
Te: 0.887 0.536 0.000

For the raw formation energy, the calculation gives -0.723 eV per atom.

***

Below is a relaxed structure of K3Np3AlTe8, with properties calculated at the GGA-PBE level.

Cell: 8.924 8.924 9.815 Å, 117.02 117.02 59.93°
Fractional coordinates of all 15 atoms:
K: 0.000 0.000 0.000
K: 0.000 0.500 0.000
K: 0.500 0.000 0.000
Np: 0.000 0.500 0.500
Np: 0.500 0.000 0.500
Np: 0.500 0.500 0.500
Al: 0.000 0.000 0.500
Te: 0.220 0.754 0.694
Te: 0.222 0.222 0.694
Te: 0.246 0.780 0.306
Te: 0.263 0.263 0.289
Te: 0.737 0.737 0.711
Te: 0.754 0.220 0.694
Te: 0.778 0.778 0.306
Te: 0.780 0.246 0.306

For the raw formation energy, the calculation gives -0.744 eV per atom.

***

Below is a relaxed structure of K4Al2O, with properties calculated at the GGA-PBE level.

Cell: 9.160 9.160 9.160 Å, 60.00 60.00 60.00°
Fractional coordinates of all 14 atoms:
K: 0.244 0.752 0.752
K: 0.248 0.248 0.248
K: 0.248 0.248 0.756
K: 0.248 0.756 0.248
K: 0.752 0.244 0.752
K: 0.752 0.752 0.244
K: 0.752 0.752 0.752
K: 0.756 0.248 0.248
Al: 0.000 0.500 0.500
Al: 0.500 0.000 0.500
Al: 0.500 0.500 0.000
Al: 0.500 0.500 0.500
O: 0.375 0.375 0.375
O: 0.625 0.625 0.625

For the raw formation energy, the calculation gives 0.106 eV per atom.

***

Below is a relaxed structure of K3Al5O12, with properties calculated at the GGA-PBE level.

Cell: 11.072 11.072 11.072 Å, 109.47 109.47 109.47°
Fractional coordinates of all 80 atoms:
K: 0.125 0.250 0.375
K: 0.125 0.375 0.750
K: 0.250 0.375 0.125
K: 0.250 0.875 0.625
K: 0.375 0.125 0.250
K: 0.375 0.750 0.125
K: 0.625 0.250 0.875
K: 0.625 0.875 0.750
K: 0.750 0.125 0.375
K: 0.750 0.625 0.875
K: 0.875 0.625 0.250
K: 0.875 0.750 0.625
Al: 0.000 0.000 0.000
Al: 0.000 0.000 0.500
Al: 0.000 0.500 0.000
Al: 0.000 0.500 0.500
Al: 0.125 0.750 0.875
Al: 0.125 0.875 0.250
Al: 0.250 0.125 0.875
Al: 0.250 0.625 0.375
Al: 0.375 0.250 0.625
Al: 0.375 0.625 0.750
Al: 0.500 0.000 0.000
Al: 0.500 0.000 0.500
Al: 0.500 0.500 0.000
Al: 0.500 0.500 0.500
Al: 0.625 0.375 0.250
Al: 0.625 0.750 0.375
Al: 0.750 0.375 0.625
Al: 0.750 0.875 0.125
Al: 0.875 0.125 0.750
Al: 0.875 0.250 0.125
O: 0.013 0.683 0.112
O: 0.013 0.830 0.901
O: 0.071 0.670 0.683
O: 0.071 0.901 0.388
O: 0.099 0.612 0.929
O: 0.099 0.987 0.170
O: 0.112 0.013 0.683
O: 0.112 0.599 0.429
O: 0.170 0.099 0.987
O: 0.170 0.571 0.183
O: 0.183 0.170 0.571
O: 0.183 0.513 0.612
O: 0.317 0.888 0.987
O: 0.317 0.929 0.330
O: 0.330 0.317 0.929
O: 0.330 0.513 0.401
O: 0.388 0.071 0.901
O: 0.388 0.817 0.487
O: 0.401 0.330 0.513
O: 0.401 0.571 0.888
O: 0.429 0.112 0.599
O: 0.429 0.817 0.830
O: 0.487 0.388 0.817
O: 0.487 0.599 0.670
O: 0.513 0.401 0.330
O: 0.513 0.612 0.183
O: 0.571 0.183 0.170
O: 0.571 0.888 0.401
O: 0.599 0.429 0.112
O: 0.599 0.670 0.487
O: 0.612 0.183 0.513
O: 0.612 0.929 0.099
O: 0.670 0.487 0.599
O: 0.670 0.683 0.071
O: 0.683 0.071 0.670
O: 0.683 0.112 0.013
O: 0.817 0.487 0.388
O: 0.817 0.830 0.429
O: 0.830 0.429 0.817
O: 0.830 0.901 0.013
O: 0.888 0.401 0.571
O: 0.888 0.987 0.317
O: 0.901 0.013 0.830
O: 0.901 0.388 0.071
O: 0.929 0.099 0.612
O: 0.929 0.330 0.317
O: 0.987 0.170 0.099
O: 0.987 0.317 0.888

For the raw formation energy, the calculation gives -1.906 eV per atom.